The following is a meta-GGA SCAN calculation of a crystal of ReSiNi relaxed with PBEsol, from Alexandria via LeMat-Bulk.

Values from the calculation:
polymorph energy (0 for the lowest one) = 0.000 eV per atom
Fermi-level density of states = 2.451 states/eV/cell
E_form (uncorrected) = -0.10 eV/atom
volume = 36.3 Å³ per cell

Cell: 2.876 2.876 4.839 Å, 107.29 107.29 90.00°
Fractional positions:
Ni (0.981, 0.981, 0.963)
Re (0.674, 0.674, 0.347)
Si (0.345, 0.345, 0.690)

=====

The following is a meta-GGA SCAN calculation of a crystal of Re3SiNi relaxed with PBEsol, from Alexandria via LeMat-Bulk.

Values from the calculation:
Fermi-level density of states = 6.128 states/eV/cell
E_form (uncorrected) = 2.01 eV/atom
volume = 82.8 Å³ per cell

Cell: 4.359 4.359 4.359 Å, 90.00 90.00 90.00°
Each line ends with the local moment (μB).
Fractional positions:
Re (0.000, 0.500, 0.000)  -0.19
Re (0.000, 0.000, 0.500)  -0.19
Re (0.500, 0.000, 0.000)  -0.19
Si (0.500, 0.500, 0.500)  0.04
Ni (0.000, 0.000, 0.000)  0.53

=====

The following is a meta-GGA SCAN calculation of a crystal of ReSiNi2 relaxed with PBEsol, from Alexandria via LeMat-Bulk.

Values from the calculation:
Fermi-level density of states = 3.580 states/eV/cell
E_form (uncorrected) = -0.15 eV/atom
volume = 47.3 Å³ per cell

Cell: 2.618 3.769 4.963 Å, 90.00 105.29 90.00°
Fractional positions:
Ni (0.815, 0.000, 0.004)
Ni (0.428, 0.500, 0.229)
Re (0.069, 0.000, 0.513)
Si (0.689, 0.500, 0.753)

=====

The following is a meta-GGA SCAN calculation of a crystal of Re2SiNi relaxed with PBEsol, from Alexandria via LeMat-Bulk.

Values from the calculation:
Fermi-level density of states = 2.954 states/eV/cell
E_form (uncorrected) = 0.07 eV/atom
volume = 53.1 Å³ per cell

Cell: 2.895 4.336 4.971 Å, 115.86 106.93 90.00°
Fractional positions:
Ni (0.000, 0.500, 0.000)
Re (0.768, 0.768, 0.536)
Re (0.232, 0.232, 0.464)
Si (0.500, 0.000, 0.000)

=====

The following is a meta-GGA SCAN calculation of a crystal of ReSiNi relaxed with PBEsol, from Alexandria via LeMat-Bulk.

Values from the calculation:
polymorph energy (0 for the lowest one) = 0.161 eV per atom
Fermi-level density of states = 1.774 states/eV/cell
E_form (uncorrected) = 0.06 eV/atom
volume = 41.5 Å³ per cell

Cell: 3.886 3.886 3.886 Å, 60.00 60.00 60.00°
Fractional positions:
Ni (0.000, 0.000, 0.000)
Re (0.500, 0.500, 0.500)
Si (0.250, 0.250, 0.250)

=====

The following is a meta-GGA SCAN calculation of a crystal of ReSiNi2 relaxed with PBEsol, from Alexandria via LeMat-Bulk.

Values from the calculation:
Fermi-level density of states = 3.539 states/eV/cell
E_form (uncorrected) = -0.07 eV/atom
volume = 47.2 Å³ per cell

Cell: 2.614 3.562 5.069 Å, 90.00 90.00 90.00°
Fractional positions:
Ni (0.000, 0.000, 0.741)
Ni (0.000, 0.000, 0.259)
Re (0.500, 0.500, 0.000)
Si (0.500, 0.500, 0.500)